A geometry-optimized KVPbF6 structure. Source: Alexandria via LeMat-Bulk, functional PBE+U.

Lattice parameters (Å, degrees): 5.822 5.829 4.535 90.00 89.96 59.98
Last column: magnetic moment on the atom in μB.
Fractional coordinates of all 9 atoms:
1 F 0.451 0.548 0.198  0.00
2 F 0.001 0.451 0.198  0.00
3 F 0.548 0.000 0.198  0.00
4 F 0.237 0.110 0.669  0.00
5 F 0.110 0.653 0.669  0.00
6 F 0.653 0.237 0.668  0.00
7 K 0.000 0.000 0.177  0.00
8 Pb 0.667 0.667 0.793  0.00
9 V 0.333 0.333 0.430  1.90

Calculated values
magnetic moment: 2.0 μB/f.u.
VASP energy: -5.322 eV/atom
space-group type: No. 1